The following is a PBE-GGA calculation of a relaxed Ba2CrN2 crystal, from the Alexandria database.

The structure in POSCAR format:
```
Ba2CrN2
1.0
6.002 0.000 0.000
0.000 6.002 0.000
3.001 3.001 2.828
Cr Ba N
1 2 2
Direct
0.000 0.000 0.000 Cr
0.750 0.250 0.500 Ba
0.250 0.750 0.500 Ba
0.382 0.382 0.236 N
0.618 0.618 0.764 N
```

Computed properties:
total moment = 0.022 μB/f.u.
uncorrected formation energy = 0.790 eV per atom